# 1
Pm4Zn3Cu: optimized geometry, GGA-PBE.

```
Pm4Zn3Cu
1.0
3.6440 0.0000 0.0000
0.0000 3.6440 0.0000
0.0000 0.0000 14.5188
Pm Zn Cu
4 3 1
Direct
0.0000 0.0000 0.1214
0.0000 0.0000 0.3734
0.0000 0.0000 0.6266
0.0000 0.0000 0.8786
0.5000 0.5000 0.2486
0.5000 0.5000 0.5000
0.5000 0.5000 0.7514
0.5000 0.5000 0.0000
```

DOS at the Fermi energy = 9.0 states/eV/f.u.
Calculated total energy = -3.640 eV/atom
Energy of formation = -2.20 eV/f.u.

# 2
PmZn2Cu: optimized geometry, GGA-PBE.

```
PmZn2Cu
1.0
3.2133 0.0000 0.0000
0.0000 3.2133 0.0000
0.0000 0.0000 7.0947
Pm Zn Cu
1 2 1
Direct
0.0000 0.0000 0.0000
0.5000 0.5000 0.3110
0.5000 0.5000 0.6890
0.0000 0.0000 0.5000
```

DOS at the Fermi energy = 3.2 states/eV/f.u.
Calculated total energy = -2.971 eV/atom
Energy of formation = -0.49 eV/f.u.

# 3
Pm6ZnCu5: optimized geometry, GGA-PBE.

```
Pm6ZnCu5
1.0
2.5379 -7.6194 0.0000
2.5379 7.6194 0.0000
0.0000 0.0000 7.1346
Pm Zn Cu
6 1 5
Direct
0.0000 0.0000 0.2440
0.0000 0.0000 0.7560
0.3312 0.6688 0.2485
0.3312 0.6688 0.7515
0.6688 0.3312 0.2485
0.6688 0.3312 0.7515
0.5000 0.5000 0.5000
0.1604 0.8396 0.5000
0.1665 0.8335 0.0000
0.5000 0.5000 0.0000
0.8335 0.1665 0.0000
0.8396 0.1604 0.5000
```

DOS at the Fermi energy = 8.0 states/eV/f.u.
Calculated total energy = -4.376 eV/atom
Energy of formation = -2.26 eV/f.u.

# 4
Pm8ZnCu2: optimized geometry, GGA-PBE.

```
Pm8ZnCu2
1.0
4.3699 -6.8688 0.0000
4.3699 6.8688 0.0000
-1.6904 0.0000 5.2860
Pm Zn Cu
8 1 2
Direct
0.0000 0.0000 0.0000
0.0621 0.3067 0.6046
0.1516 0.6230 0.1880
0.3067 0.0621 0.6046
0.4690 0.7140 0.7707
0.6230 0.1516 0.1880
0.7140 0.4690 0.7707
0.7757 0.7757 0.3761
0.3878 0.3878 0.1909
0.0806 0.6964 0.6887
0.6964 0.0806 0.6887
```

DOS at the Fermi energy = 16.8 states/eV/f.u.
Calculated total energy = -4.296 eV/atom
Energy of formation = 0.21 eV/f.u.

# 5
Pm3Zn2Cu9: optimized geometry, GGA-PBE.

```
Pm3Zn2Cu9
1.0
-2.1196 4.4307 6.2960
2.1196 -4.4307 6.2960
2.1196 4.4307 -6.2960
Pm Zn Cu
3 2 9
Direct
0.0000 0.0000 0.0000
0.2992 0.2992 0.0000
0.7008 0.7008 0.0000
0.2978 0.5000 0.7978
0.7022 0.5000 0.2022
0.0253 0.6694 0.3558
0.1580 0.8745 0.2835
0.3136 0.6694 0.6442
0.4090 0.1255 0.2835
0.5000 0.0000 0.5000
0.5910 0.8745 0.7165
0.6864 0.3306 0.3558
0.8420 0.1255 0.7165
0.9747 0.3306 0.6442
```

DOS at the Fermi energy = 8.5 states/eV/f.u.
Calculated total energy = -4.034 eV/atom
Energy of formation = -2.81 eV/f.u.

# 6
Pm3Zn7Cu2: optimized geometry, GGA-PBE.

```
Pm3Zn7Cu2
1.0
2.7145 1.5672 8.7207
-2.7145 1.5672 8.7207
0.0000 -3.1344 8.7207
Pm Zn Cu
3 7 2
Direct
0.0000 0.0000 0.0000
0.1418 0.1418 0.1418
0.8582 0.8582 0.8582
0.0763 0.5802 0.5802
0.4198 0.4198 0.9237
0.4198 0.9237 0.4198
0.5000 0.5000 0.5000
0.5802 0.0763 0.5802
0.5802 0.5802 0.0763
0.9237 0.4198 0.4198
0.3342 0.3342 0.3342
0.6658 0.6658 0.6658
```

DOS at the Fermi energy = 8.6 states/eV/f.u.
Calculated total energy = -2.898 eV/atom
Energy of formation = -3.41 eV/f.u.

# 7
Pm4ZnCu3: optimized geometry, GGA-PBE.

```
Pm4ZnCu3
1.0
3.5882 0.0000 0.0000
0.0000 5.0838 0.0000
0.0000 0.0000 10.1565
Pm Zn Cu
4 1 3
Direct
0.0000 0.0000 0.0000
0.0000 0.0000 0.5000
0.0000 0.5000 0.2447
0.0000 0.5000 0.7553
0.5000 0.5000 0.5000
0.5000 0.0000 0.2536
0.5000 0.0000 0.7464
0.5000 0.5000 0.0000
```

DOS at the Fermi energy = 7.0 states/eV/f.u.
Calculated total energy = -4.268 eV/atom
Energy of formation = -1.58 eV/f.u.

# 8
PmZnCu3: optimized geometry, GGA-PBE.

```
PmZnCu3
1.0
-2.5036 4.2591 4.2217
2.5036 -4.2591 4.2217
2.5036 4.2591 -4.2217
Pm Zn Cu
2 2 6
Direct
0.2899 0.0399 0.2500
0.7101 0.9601 0.7500
0.0000 0.5000 0.5000
0.5000 0.5000 0.0000
0.0744 0.3244 0.7500
0.2402 0.0000 0.7402
0.2402 0.5000 0.2402
0.7598 0.0000 0.2598
0.7598 0.5000 0.7598
0.9256 0.6756 0.2500
```

DOS at the Fermi energy = 3.0 states/eV/f.u.
Calculated total energy = -3.783 eV/atom
Energy of formation = -0.60 eV/f.u.

# 9
Pm2Zn2Cu3: optimized geometry, GGA-PBE.

```
Pm2Zn2Cu3
1.0
2.0428 -9.1127 0.0000
2.0428 9.1127 0.0000
0.0000 0.0000 7.2263
Pm Zn Cu
4 4 6
Direct
0.0606 0.9394 0.7500
0.1520 0.8480 0.2500
0.8480 0.1520 0.7500
0.9394 0.0606 0.2500
0.3095 0.6905 0.0608
0.3095 0.6905 0.4392
0.6905 0.3095 0.5608
0.6905 0.3095 0.9392
0.2281 0.7719 0.7500
0.4418 0.5582 0.5761
0.4418 0.5582 0.9239
0.5582 0.4418 0.0761
0.5582 0.4418 0.4239
0.7719 0.2281 0.2500
```

DOS at the Fermi energy = 4.5 states/eV/f.u.
Calculated total energy = -3.723 eV/atom
Energy of formation = -1.73 eV/f.u.

# 10
Pm5Zn4Cu: optimized geometry, GGA-PBE.

```
Pm5Zn4Cu
1.0
3.6449 0.0000 0.0000
0.0000 3.6449 0.0000
0.0000 0.0000 18.1918
Pm Zn Cu
5 4 1
Direct
0.0000 0.0000 0.0000
0.0000 0.0000 0.2023
0.0000 0.0000 0.4034
0.0000 0.0000 0.5966
0.0000 0.0000 0.7977
0.5000 0.5000 0.1016
0.5000 0.5000 0.3012
0.5000 0.5000 0.6988
0.5000 0.5000 0.8984
0.5000 0.5000 0.5000
```

DOS at the Fermi energy = 10.7 states/eV/f.u.
Calculated total energy = -3.579 eV/atom
Energy of formation = -2.85 eV/f.u.

# 11
Pm3Zn2Cu2: optimized geometry, GGA-PBE.

```
Pm3Zn2Cu2
1.0
2.3782 1.3730 9.0381
-2.3782 1.3730 9.0381
0.0000 -2.7461 9.0381
Pm Zn Cu
3 2 2
Direct
0.0000 0.0000 0.0000
0.2135 0.2135 0.2135
0.7865 0.7865 0.7865
0.4011 0.4011 0.4011
0.5989 0.5989 0.5989
0.1012 0.1012 0.1012
0.8988 0.8988 0.8988
```

DOS at the Fermi energy = 8.2 states/eV/f.u.
Calculated total energy = -3.627 eV/atom
Energy of formation = -0.39 eV/f.u.

# 12
Pm3Zn5Cu6: optimized geometry, GGA-PBE.

```
Pm3Zn5Cu6
1.0
-2.1718 4.4778 6.2817
2.1718 -4.4778 6.2817
2.1718 4.4778 -6.2817
Pm Zn Cu
3 5 6
Direct
0.0000 0.0000 0.0000
0.3114 0.3114 0.0000
0.6886 0.6886 0.0000
0.0252 0.6743 0.3509
0.3233 0.6743 0.6491
0.5000 0.0000 0.5000
0.6767 0.3257 0.3509
0.9748 0.3257 0.6491
0.1608 0.8809 0.2799
0.2885 0.5000 0.7885
0.3991 0.1191 0.2799
0.6009 0.8809 0.7201
0.7115 0.5000 0.2115
0.8392 0.1191 0.7201
```

DOS at the Fermi energy = 8.4 states/eV/f.u.
Calculated total energy = -3.488 eV/atom
Energy of formation = -3.64 eV/f.u.

# 13
Pm8Zn2Cu: optimized geometry, GGA-PBE.

```
Pm8Zn2Cu
1.0
-2.5463 4.3215 7.1032
2.5463 -4.3215 7.1032
2.5463 4.3215 -7.1032
Pm Zn Cu
8 2 1
Direct
0.1206 0.3405 0.7801
0.1285 0.1285 0.0000
0.3305 0.0000 0.3305
0.4396 0.6595 0.7801
0.5604 0.3405 0.2199
0.6695 0.0000 0.6695
0.8715 0.8715 0.0000
0.8794 0.6595 0.2199
0.3001 0.8001 0.5000
0.6999 0.1999 0.5000
0.0000 0.5000 0.5000
```

DOS at the Fermi energy = 13.2 states/eV/f.u.
Calculated total energy = -4.070 eV/atom
Energy of formation = -0.12 eV/f.u.

# 14
Pm2Zn16Cu: optimized geometry, GGA-PBE.

```
Pm2Zn16Cu
1.0
4.5039 2.6003 4.4094
-4.5039 2.6003 4.4094
0.0000 -5.2007 4.4094
Pm Zn Cu
2 16 1
Direct
0.0000 0.0000 0.0000
0.3300 0.3300 0.3300
0.0160 0.0160 0.5075
0.0160 0.5075 0.0160
0.1599 0.6691 0.6691
0.3134 0.3134 0.8272
0.3134 0.8272 0.3134
0.3751 0.6664 0.9576
0.3751 0.9576 0.6664
0.5075 0.0160 0.0160
0.5680 0.5680 0.5680
0.6664 0.3751 0.9576
0.6664 0.9576 0.3751
0.6691 0.1599 0.6691
0.6691 0.6691 0.1599
0.8272 0.3134 0.3134
0.9576 0.3751 0.6664
0.9576 0.6664 0.3751
0.7640 0.7640 0.7640
```

DOS at the Fermi energy = 6.2 states/eV/f.u.
Calculated total energy = -2.037 eV/atom
Energy of formation = -4.72 eV/f.u.

# 15
Pm3Zn2Cu3: optimized geometry, GGA-PBE.

```
Pm3Zn2Cu3
1.0
7.8483 0.0000 0.0000
0.0000 15.3051 0.0000
0.0000 0.0000 5.6271
Pm Zn Cu
12 8 12
Direct
0.0445 0.1039 0.1447
0.0445 0.3961 0.1447
0.1786 0.2500 0.6181
0.3214 0.7500 0.1181
0.4555 0.6039 0.6447
0.4555 0.8961 0.6447
0.5445 0.1039 0.3553
0.5445 0.3961 0.3553
0.6786 0.2500 0.8819
0.8214 0.7500 0.3819
0.9555 0.6039 0.8553
0.9555 0.8961 0.8553
0.1127 0.6026 0.3625
0.1127 0.8974 0.3625
0.3873 0.1026 0.8625
0.3873 0.3974 0.8625
0.6127 0.6026 0.1375
0.6127 0.8974 0.1375
0.8873 0.1026 0.6375
0.8873 0.3974 0.6375
0.1762 0.7500 0.6048
0.1783 0.0362 0.5976
0.1783 0.4638 0.5976
0.3217 0.5362 0.0976
0.3217 0.9638 0.0976
0.3238 0.2500 0.1048
0.6762 0.7500 0.8952
0.6783 0.0362 0.9024
0.6783 0.4638 0.9024
0.8217 0.5362 0.4024
0.8217 0.9638 0.4024
0.8238 0.2500 0.3952
```

DOS at the Fermi energy = 6.2 states/eV/f.u.
Calculated total energy = -3.869 eV/atom
Energy of formation = -1.86 eV/f.u.

# 16
Pm3Zn3Cu2: optimized geometry, GGA-PBE.

```
Pm3Zn3Cu2
1.0
2.2576 -5.0371 0.0000
2.2576 5.0371 0.0000
0.0000 0.0000 15.0381
Pm Zn Cu
6 6 4
Direct
0.0963 0.9037 0.6051
0.0963 0.9037 0.8949
0.3867 0.6133 0.7500
0.6133 0.3867 0.2500
0.9037 0.0963 0.1051
0.9037 0.0963 0.3949
0.3173 0.6827 0.2500
0.3833 0.6167 0.5401
0.3833 0.6167 0.9599
0.6167 0.3833 0.0401
0.6167 0.3833 0.4599
0.6827 0.3173 0.7500
0.2002 0.7998 0.0991
0.2002 0.7998 0.4009
0.7998 0.2002 0.5991
0.7998 0.2002 0.9009
```

DOS at the Fermi energy = 6.8 states/eV/f.u.
Calculated total energy = -3.570 eV/atom
Energy of formation = -2.29 eV/f.u.

# 17
Pm4Zn3Cu: optimized geometry, GGA-PBE.

```
Pm4Zn3Cu
1.0
3.6540 0.0000 0.0000
0.0000 4.5145 0.0000
0.0000 0.0000 11.8527
Pm Zn Cu
4 3 1
Direct
0.0000 0.0000 0.0000
0.0000 0.5000 0.2941
0.5000 0.0000 0.4917
0.5000 0.5000 0.8005
0.0000 0.0000 0.7105
0.0000 0.5000 0.5810
0.5000 0.5000 0.0839
0.5000 0.0000 0.2102
```

DOS at the Fermi energy = 8.6 states/eV/f.u.
Calculated total energy = -3.607 eV/atom
Energy of formation = -1.93 eV/f.u.

# 18
Pm11Zn9Cu4: optimized geometry, GGA-PBE.

```
Pm11Zn9Cu4
1.0
7.1022 -10.6664 0.0000
7.1022 10.6664 0.0000
0.0000 0.0000 3.6794
Pm Zn Cu
11 9 4
Direct
0.0000 0.0000 0.0000
0.0665 0.4121 0.0000
0.1690 0.8310 0.0000
0.2893 0.2893 0.0000
0.3677 0.6323 0.0000
0.4121 0.0665 0.0000
0.5879 0.9335 0.0000
0.6323 0.3677 0.0000
0.7107 0.7107 0.0000
0.8310 0.1690 0.0000
0.9335 0.5879 0.0000
0.0690 0.2142 0.5000
0.1641 0.6308 0.5000
0.2142 0.0690 0.5000
0.3692 0.8359 0.5000
0.5000 0.5000 0.5000
0.6308 0.1641 0.5000
0.7858 0.9310 0.5000
0.8359 0.3692 0.5000
0.9310 0.7858 0.5000
0.2508 0.4481 0.5000
0.4481 0.2508 0.5000
0.5519 0.7492 0.5000
0.7492 0.5519 0.5000
```

DOS at the Fermi energy = 20.7 states/eV/f.u.
Calculated total energy = -3.598 eV/atom
Energy of formation = -6.24 eV/f.u.

# 19
PmZn2Cu: optimized geometry, GGA-PBE.

```
PmZn2Cu
1.0
6.6569 0.0000 0.0000
0.0000 6.6569 0.0000
0.0000 0.0000 6.6569
Pm Zn Cu
4 8 4
Direct
0.0000 0.0000 0.0000
0.0000 0.5000 0.5000
0.5000 0.0000 0.5000
0.5000 0.5000 0.0000
0.2500 0.2500 0.2500
0.2500 0.2500 0.7500
0.2500 0.7500 0.2500
0.2500 0.7500 0.7500
0.7500 0.2500 0.2500
0.7500 0.2500 0.7500
0.7500 0.7500 0.2500
0.7500 0.7500 0.7500
0.0000 0.0000 0.5000
0.0000 0.5000 0.0000
0.5000 0.0000 0.0000
0.5000 0.5000 0.5000
```

DOS at the Fermi energy = 1.7 states/eV/f.u.
Calculated total energy = -3.043 eV/atom
Energy of formation = -0.78 eV/f.u.

# 20
Pm2Zn2Cu3: optimized geometry, GGA-PBE.

```
Pm2Zn2Cu3
1.0
10.2294 0.0000 0.0000
0.0000 4.2651 0.0000
-2.5659 0.0000 6.0620
Pm Zn Cu
4 4 6
Direct
0.1475 0.0000 0.2605
0.3525 0.5000 0.7395
0.6475 0.5000 0.2605
0.8525 0.0000 0.7395
0.1451 0.0000 0.7400
0.3549 0.5000 0.2600
0.6451 0.5000 0.7400
0.8549 0.0000 0.2600
0.0000 0.5000 0.5000
0.0981 0.5000 0.9172
0.4019 0.0000 0.0828
0.5000 0.0000 0.5000
0.5981 0.0000 0.9172
0.9019 0.5000 0.0828
```

DOS at the Fermi energy = 5.4 states/eV/f.u.
Calculated total energy = -3.706 eV/atom
Energy of formation = -1.60 eV/f.u.